No. 1
Entry from Alexandria: HfNiN3 after structural relaxation (PBE).

**Crystal system**: cubic
**Final energy**: -38.55 eV for the cell shown

a = 3.6378 Å, b = 3.6378 Å, c = 3.6378 Å
α = 90.00°, β = 90.00°, γ = 90.00°
Last column: nearest neighbours and their distance in Å.
Element x y z (fractional)
Hf (0.0000, 0.0000, 0.0000)  12 N 2.57
Ni (0.5000, 0.5000, 0.5000)  6 N 1.82
N (0.0000, 0.5000, 0.5000)  2 Ni 1.82
N (0.5000, 0.0000, 0.5000)  2 Ni 1.82
N (0.5000, 0.5000, 0.0000)  2 Ni 1.82



No. 2
Entry from Alexandria: AcNiP after structural relaxation (PBE).

**Crystal system**: monoclinic
**Formation energy from the elements**: -0.8502 eV per atom

a = 4.0647 Å, b = 4.0647 Å, c = 8.4724 Å
α = 90.01°, β = 90.01°, γ = 90.00°
Last column: nearest neighbours and their distance in Å.
Element x y z (fractional)
Ac (0.2499, 0.2499, 0.2205)  4 Ni 3.12, 4 P 3.12-3.13
Ac (0.7501, 0.7501, 0.7795)  4 Ni 3.12, 4 P 3.12-3.13
Ni (0.2490, 0.7510, 0.5000)  4 P 2.33
Ni (0.7510, 0.2490, 0.5000)  4 P 2.33
P (0.2508, 0.2508, 0.6346)  4 Ni 2.33
P (0.7492, 0.7492, 0.3654)  4 Ni 2.33



No. 3
Entry from Alexandria: SrAsPb after structural relaxation (PBE).

**Crystal system**: cubic
**Formation energy from the elements**: -0.4991 eV per atom

a = 5.2226 Å, b = 5.2226 Å, c = 5.2226 Å
α = 60.00°, β = 60.00°, γ = 60.00°
Last column: nearest neighbours and their distance in Å.
Element x y z (fractional)
Sr (0.0000, 0.0000, 0.0000)  4 As 3.20
As (0.7500, 0.7500, 0.7500)  4 Pb 3.20, 4 Sr 3.20
Pb (0.5000, 0.5000, 0.5000)  4 As 3.20



No. 4
Entry from Alexandria: LiPu2TcN4 after structural relaxation (PBE).

**Crystal system**: orthorhombic
**Final energy**: -159.25 eV for the cell shown

a = 6.2568 Å, b = 6.2568 Å, c = 11.9997 Å
α = 90.00°, β = 90.00°, γ = 148.43°
Last column: nearest neighbours and their distance in Å.
Element x y z (fractional)
Li (0.0173, 0.9827, 0.7500)  2 N 2.29
Li (0.9827, 0.0173, 0.2500)  2 N 2.29
Pu (0.3707, 0.6293, 0.5448)  6 N 2.24-2.47
Pu (0.3707, 0.6293, 0.9552)  6 N 2.24-2.47
Pu (0.6293, 0.3707, 0.0448)  6 N 2.24-2.47
Pu (0.6293, 0.3707, 0.4552)  6 N 2.24-2.47
Tc (0.2004, 0.7996, 0.2500)  4 N 1.95-2.02
Tc (0.7996, 0.2004, 0.7500)  4 N 1.95-2.02
N (0.0000, 0.0000, 0.0000)  4 Pu 2.37
N (0.0000, 0.0000, 0.5000)  4 Pu 2.37
N (0.2458, 0.7542, 0.0936)  1 Tc 1.95
N (0.2458, 0.7542, 0.4064)  1 Tc 1.95
N (0.3898, 0.6102, 0.7500)  2 Tc 2.02
N (0.6102, 0.3898, 0.2500)  2 Tc 2.02
N (0.7542, 0.2458, 0.5936)  1 Tc 1.95
N (0.7542, 0.2458, 0.9064)  1 Tc 1.95



No. 5
Entry from Alexandria: Tb2PrNd5 after structural relaxation (PBE).

**Crystal system**: orthorhombic
**Formation energy from the elements**: 0.0128 eV per atom

a = 7.3083 Å, b = 14.6178 Å, c = 5.1620 Å
α = 90.00°, β = 90.00°, γ = 90.00°
Last column: nearest neighbours and their distance in Å.
Element x y z (fractional)
Tb (0.2493, 0.1251, 0.0000)  10 Nd 3.65-3.66, 2 Pr 3.65
Tb (0.2507, 0.6251, 0.0000)  10 Nd 3.65-3.66, 2 Pr 3.65
Tb (0.7493, 0.3749, 0.0000)  10 Nd 3.65-3.66, 2 Pr 3.65
Tb (0.7507, 0.8749, 0.0000)  10 Nd 3.65-3.66, 2 Pr 3.65
Pr (0.0000, 0.0000, 0.5000)  4 Tb 3.65, 8 Nd 3.65-3.66
Pr (0.5000, 0.5000, 0.5000)  4 Tb 3.65, 8 Nd 3.65-3.66
Nd (0.0000, 0.5000, 0.5000)  6 Nd 3.65, 2 Pr 3.65, 4 Tb 3.66
Nd (0.0013, 0.7497, 0.5000)  4 Tb 3.65-3.66, 7 Nd 3.65, 1 Pr 3.66
Nd (0.2489, 0.3746, 0.0000)  4 Tb 3.65-3.66, 6 Nd 3.65, 2 Pr 3.66
Nd (0.2511, 0.8746, 0.0000)  4 Tb 3.65-3.66, 6 Nd 3.65, 2 Pr 3.66
Nd (0.4987, 0.2497, 0.5000)  4 Tb 3.65-3.66, 7 Nd 3.65, 1 Pr 3.66
Nd (0.5000, 0.0000, 0.5000)  6 Nd 3.65, 2 Pr 3.65, 4 Tb 3.66
Nd (0.5013, 0.7503, 0.5000)  4 Tb 3.65-3.66, 7 Nd 3.65, 1 Pr 3.66
Nd (0.7489, 0.1254, 0.0000)  4 Tb 3.65-3.66, 6 Nd 3.65, 2 Pr 3.66
Nd (0.7511, 0.6254, 0.0000)  4 Tb 3.65-3.66, 6 Nd 3.65, 2 Pr 3.66
Nd (0.9987, 0.2503, 0.5000)  4 Tb 3.65-3.66, 7 Nd 3.65, 1 Pr 3.66



No. 6
Entry from Alexandria: MnCr3P after structural relaxation (PBE).

**Crystal system**: cubic
**Formation energy from the elements**: 0.8558 eV per atom

a = 4.1151 Å, b = 4.1151 Å, c = 4.1151 Å
α = 90.00°, β = 90.00°, γ = 90.00°
Last column: nearest neighbours and their distance in Å.
Element x y z (fractional)
Mn (0.0000, 0.0000, 0.0000)  12 Cr 2.91
Cr (0.0000, 0.5000, 0.5000)  2 P 2.06
Cr (0.5000, 0.0000, 0.5000)  2 P 2.06
Cr (0.5000, 0.5000, 0.0000)  2 P 2.06
P (0.5000, 0.5000, 0.5000)  6 Cr 2.06



Calculated values (g/cm3) of mass density for the records, taken in order: 9.63; 7.51; 6.10; 8.76; 7.11; 5.76.